1.
## Ta3AgH (meta-GGA SCAN)

Data for Ta3AgH at its PBEsol-relaxed geometry.

```
data_Ta3AgH
_symmetry_space_group_name_H-M 'P m -3 m'
_symmetry_Int_Tables_number 221
_symmetry_space_group_name_Hall '-P 4 2 3'
_cell_length_a 4.138
_cell_length_b 4.138
_cell_length_c 4.138
_cell_angle_alpha 90.00
_cell_angle_beta 90.00
_cell_angle_gamma 90.00
loop_
_atom_site_label
_atom_site_type_symbol
_atom_site_fract_x
_atom_site_fract_y
_atom_site_fract_z
Ta1 Ta 0.000 0.000 0.500
Ag1 Ag 0.500 0.500 0.500
H1 H 0.000 0.000 0.000
```

Computed properties:
The electronic total energy is -46.757 eV/atom.



2.
## LiSc (meta-GGA SCAN)

Data for LiSc at its PBEsol-relaxed geometry.

```
data_LiSc
_symmetry_space_group_name_H-M 'C m m m'
_symmetry_Int_Tables_number 65
_symmetry_space_group_name_Hall '-C 2 2'
_cell_length_a 3.373
_cell_length_b 4.964
_cell_length_c 5.163
_cell_angle_alpha 90.00
_cell_angle_beta 90.00
_cell_angle_gamma 90.00
loop_
_atom_site_label
_atom_site_type_symbol
_atom_site_fract_x
_atom_site_fract_y
_atom_site_fract_z
Li1 Li 0.000 0.000 0.000
Sc1 Sc 0.000 0.500 0.500
```

Computed properties:
The energy relative to the lowest polymorph listed for this composition comes out at 14.08 kJ/mol of atoms. For the formation enthalpy at 0 K, the calculation gives 0.236 eV/atom.



3.
## TiCuGeAs (meta-GGA SCAN)

Data for TiCuGeAs at its PBEsol-relaxed geometry.

```
data_TiCuGeAs
_symmetry_space_group_name_H-M 'P 4/n m m'
_symmetry_Int_Tables_number 129
_cell_length_a 3.597
_cell_length_b 3.597
_cell_length_c 9.113
_cell_angle_alpha 90.00
_cell_angle_beta 90.00
_cell_angle_gamma 90.00
loop_
_symmetry_equiv_pos_as_xyz
'x,y,z'
'-x,-y,-z'
'-y+1/2,x,z'
'y+1/2,-x,-z'
'-x+1/2,-y+1/2,z'
'x+1/2,y+1/2,-z'
'y,-x+1/2,z'
'-y,x+1/2,-z'
'x+1/2,-y,-z'
'-x+1/2,y,z'
'-y,-x,-z'
'y,x,z'
'-x,y+1/2,-z'
'x,-y+1/2,z'
'y+1/2,x+1/2,-z'
'-y+1/2,-x+1/2,z'
loop_
_atom_site_label
_atom_site_type_symbol
_atom_site_fract_x
_atom_site_fract_y
_atom_site_fract_z
Ti1 Ti 0.250 0.250 0.225
Cu1 Cu 0.250 0.750 0.500
Ge1 Ge 0.250 0.750 0.000
As1 As 0.250 0.250 0.688
```

Computed properties:
For the formation enthalpy at 0 K, the calculation gives -0.484 eV/atom.



4.
## InPtRh2C (meta-GGA SCAN)

Data for InPtRh2C at its PBEsol-relaxed geometry.

```
data_InPtRh2C
_symmetry_space_group_name_H-M 'P 4/m m m'
_symmetry_Int_Tables_number 123
_symmetry_space_group_name_Hall '-P 4 2'
_cell_length_a 4.798
_cell_length_b 4.798
_cell_length_c 4.826
_cell_angle_alpha 90.00
_cell_angle_beta 90.00
_cell_angle_gamma 90.00
loop_
_atom_site_label
_atom_site_type_symbol
_atom_site_fract_x
_atom_site_fract_y
_atom_site_fract_z
In1 In 0.000 0.000 0.000
Pt1 Pt 0.000 0.000 0.500
Rh1 Rh 0.000 0.500 0.000
C1 C 0.500 0.500 0.500
```

Computed properties:
For the formation enthalpy at 0 K, the calculation gives 2.795 eV/atom.